Record 1
Compound: CdFeN2O
Source: the Alexandria database
Functional: GGA+U
Structure: relaxed

Summary:
**SG**: P4/mmm, No. 123
**Total energy**: -3.27 eV/atom
**Calculated volume**: 72 Å³/cell

```
data_CdFeN2O
_cell_length_a 4.1575
_cell_length_b 4.1575
_cell_length_c 4.1905
_cell_angle_alpha 90.00
_cell_angle_beta 90.00
_cell_angle_gamma 90.00
_symmetry_space_group_name_H-M 'P 1'
_symmetry_Int_Tables_number 1
_symmetry_space_group_name_Hall 'P 1'
loop_
_atom_site_label
_atom_site_fract_x
_atom_site_fract_y
_atom_site_fract_z
N1 0.0000 0.5000 0.0000
N2 0.5000 0.0000 0.0000
Fe1 0.5000 0.5000 0.5000
O1 0.0000 0.0000 0.5000
Cd1 0.0000 0.0000 0.0000
```

***

Record 2
Compound: CdFeN2O
Source: the Alexandria database
Functional: GGA+U
Structure: relaxed

Summary:
**SG**: P4/mmm, No. 123
**Total energy**: -4.47 eV/atom
**Calculated volume**: 72 Å³/cell

```
data_CdFeN2O
_cell_length_a 3.3993
_cell_length_b 6.2057
_cell_length_c 3.3993
_cell_angle_alpha 90.00
_cell_angle_beta 90.00
_cell_angle_gamma 90.00
_symmetry_space_group_name_H-M 'P 1'
_symmetry_Int_Tables_number 1
_symmetry_space_group_name_Hall 'P 1'
loop_
_atom_site_label
_atom_site_fract_x
_atom_site_fract_y
_atom_site_fract_z
N1 0.0000 0.0000 0.5000
N2 0.5000 0.0000 0.0000
Fe1 0.0000 0.0000 0.0000
O1 0.5000 0.5000 0.5000
Cd1 0.0000 0.5000 0.0000
```